1.
KWAu2: relaxed, PBE.

Output
formation energy from the elements	55.1	kJ/mol of atoms
offset from the most stable computed form	190	meV/atom
crystal system	trigonal

a b c (Å): 10.6280 10.6280 10.6280
angles (deg): 16.00 16.00 16.00
Last column: nearest neighbours and their distance in Å.
Sites, in units of the cell vectors:
K 0.0000 0.0000 0.0000  6 K 2.96
W 0.5000 0.5000 0.5000  6 Au 2.88, 6 W 2.96
Au 0.2403 0.2403 0.2403  3 W 2.88, 6 Au 2.96
Au 0.7597 0.7597 0.7597  3 W 2.88, 6 Au 2.96

=====

2.
CaOsF2: relaxed, PBE.

Output
offset from the most stable computed form	768	meV/atom
crystal system	trigonal
raw formation energy	-695	meV/atom

a b c (Å): 4.7786 4.7786 4.7786
angles (deg): 49.85 49.85 49.85
Last column: nearest neighbours and their distance in Å.
Sites, in units of the cell vectors:
Ca 0.0000 0.0000 0.0000  8 F 2.60-2.81
Os 0.5000 0.5000 0.5000  6 F 2.38
F 0.2077 0.2077 0.2077  3 Os 2.38, 3 F 2.54, 1 Ca 2.60
F 0.7923 0.7923 0.7923  3 Os 2.38, 3 F 2.54, 1 Ca 2.60

=====

3.
SrCo2PbS: relaxed, PBE.

Output
crystal system	tetragonal
raw formation energy	527	meV/atom

a b c (Å): 4.8460 4.8460 5.8321
angles (deg): 90.00 90.00 90.00
Last column: nearest neighbours and their distance in Å.
Sites, in units of the cell vectors:
Sr 0.0000 0.0000 0.0000  4 S 3.43, 8 Co 3.79
Co 0.0000 0.5000 0.5000  2 Pb 2.42
Co 0.5000 0.0000 0.5000  2 Pb 2.42
Pb 0.5000 0.5000 0.5000  4 Co 2.42
S 0.5000 0.5000 0.0000  2 Pb 2.92